The following is a DFT calculation (GGA-PBE) of SmDy4Pt2 after structural relaxation.

## Properties
Total DFT energy (no corrections) in hartree per atom: -0.210
Total moment in μB/f.u.: 0.00

POSCAR file:
```
SmDy4Pt2
1.0
7.785 0.000 0.000
0.000 6.466 0.000
-3.114 0.000 7.439
Sm Dy Pt
2 8 4
Cartesian
1.102 1.616 0.168
3.569 4.849 7.271
-1.076 1.616 2.878
0.875 4.849 2.584
0.794 0.037 5.699
0.794 3.196 5.699
3.877 3.270 1.740
3.877 6.429 1.740
3.797 1.616 4.855
5.748 4.849 4.561
-1.112 4.849 7.383
1.649 1.616 3.071
3.022 4.849 4.368
5.783 1.616 0.056
```